A relaxed structure of PuZrMoPd, computed with PBE.

Output
Energy relative to the elements = -122 meV/atom
VASP energy = -9.848 eV per atom
V = 77.6 Å³ per cell
Magnetic moment = 4.26 μB per formula unit

a b c (Å): 4.7885 4.7885 4.7885
angles (deg): 60.00 60.00 60.00
Sites, in units of the cell vectors:
Pu 0.0000 0.0000 0.0000
Zr 0.5000 0.5000 0.5000
Mo 0.2500 0.2500 0.2500
Pd 0.7500 0.7500 0.7500

A relaxed structure of Be2TcIr, computed with PBE.

Output
Energy relative to the elements = -54 meV/atom
VASP energy = -6.723 eV per atom
V = 48.2 Å³ per cell
Magnetic moment = 0.00 μB per formula unit
Offset from the most stable computed form = 287.9 meV/atom

a b c (Å): 4.6561 4.6561 4.6561
angles (deg): 145.22 121.77 69.64
Sites, in units of the cell vectors:
Be 0.2435 0.2435 0.0000
Be 0.7565 0.7565 0.0000
Tc 0.5000 0.0000 0.5000
Ir 0.0000 0.5000 0.5000

A relaxed structure of Ho6PtSe4, computed with PBE.

Output
VASP energy = -5.833 eV per atom
Uncorrected formation energy = -1613 kJ/mol of formula units
V = 542.1 Å³ per cell
Magnetic moment = 0.00 μB per formula unit

a b c (Å): 6.9353 6.9353 20.6748
angles (deg): 90.00 90.00 146.97
Sites, in units of the cell vectors:
Ho 0.0000 0.0000 0.0000
Ho 0.0000 0.0000 0.5000
Ho 0.1771 0.8229 0.7500
Ho 0.2718 0.7282 0.0955
Ho 0.2718 0.7282 0.4045
Ho 0.4345 0.5655 0.6690
Ho 0.4345 0.5655 0.8310
Ho 0.5655 0.4345 0.1690
Ho 0.5655 0.4345 0.3310
Ho 0.7282 0.2718 0.5955
Ho 0.7282 0.2718 0.9045
Ho 0.8229 0.1771 0.2500
Pt 0.1686 0.8314 0.2500
Pt 0.8314 0.1686 0.7500
Se 0.0812 0.9188 0.6256
Se 0.0812 0.9188 0.8744
Se 0.3569 0.6431 0.5370
Se 0.3569 0.6431 0.9630
Se 0.6431 0.3569 0.0370
Se 0.6431 0.3569 0.4630
Se 0.9188 0.0812 0.1256
Se 0.9188 0.0812 0.3744

A relaxed structure of ScSbTe2C, computed with PBE.

Output
VASP energy = -4.532 eV per atom
Uncorrected formation energy = 319 kJ/mol of formula units
V = 132.6 Å³ per cell
Magnetic moment = 0.73 μB per formula unit
Offset from the most stable computed form = 106.4 meV/atom

a b c (Å): 5.6468 5.6468 4.1571
angles (deg): 90.00 90.00 90.00
Sites, in units of the cell vectors:
Sc 0.0000 0.0000 0.0000
Sb 0.5000 0.5000 0.5000
Te 0.0000 0.5000 0.0000
Te 0.5000 0.0000 0.0000
C 0.0000 0.0000 0.5000

A relaxed structure of Pr3NdCu3, computed with PBE.

Output
Energy relative to the elements = -61 meV/atom
VASP energy = -4.546 eV per atom
V = 370.7 Å³ per cell
Magnetic moment = 0.00 μB per formula unit

a b c (Å): 7.3342 7.3342 7.1999
angles (deg): 101.69 101.69 90.89
Sites, in units of the cell vectors:
Pr 0.1768 0.8232 0.0000
Pr 0.2574 0.7426 0.5000
Pr 0.3456 0.3456 0.0856
Pr 0.6544 0.6544 0.9144
Pr 0.7426 0.2574 0.5000
Pr 0.8232 0.1768 0.0000
Nd 0.2624 0.2624 0.5401
Nd 0.7376 0.7376 0.4599
Cu 0.0224 0.4474 0.8156
Cu 0.0534 0.0534 0.7055
Cu 0.4474 0.0224 0.8156
Cu 0.5526 0.9776 0.1844
Cu 0.9466 0.9466 0.2945
Cu 0.9776 0.5526 0.1844

A relaxed structure of Mn4NbRe, computed with PBE.

Output
Energy relative to the elements = -108 meV/atom
VASP energy = -9.974 eV per atom
V = 75.5 Å³ per cell
Magnetic moment = 0.00 μB per formula unit

a b c (Å): 4.7444 4.7444 4.7444
angles (deg): 60.00 60.00 60.00
Sites, in units of the cell vectors:
Mn 0.1237 0.1237 0.1237
Mn 0.1237 0.1237 0.6290
Mn 0.1237 0.6290 0.1237
Mn 0.6290 0.1237 0.1237
Nb 0.7500 0.7500 0.7500
Re 0.5000 0.5000 0.5000

Which of these has the highest V?
Ho6PtSe4

Which formula does entry 2 have?
Be2TcIr